No. 1
KAl11O17: optimized geometry, PBEsol.

Geometry as POSCAR:
```
KAl11O17
1.0
5.612 0.000 0.000
-2.806 4.860 0.000
0.000 0.000 22.785
K Al O
2 22 34
Direct
0.333 0.667 0.250 K
0.667 0.333 0.750 K
0.000 0.000 0.000 Al
0.000 0.000 0.500 Al
0.167 0.335 0.106 Al
0.167 0.335 0.394 Al
0.167 0.833 0.106 Al
0.167 0.833 0.394 Al
0.333 0.667 0.525 Al
0.333 0.667 0.675 Al
0.333 0.667 0.825 Al
0.333 0.667 0.975 Al
0.335 0.167 0.606 Al
0.335 0.167 0.894 Al
0.665 0.833 0.106 Al
0.665 0.833 0.394 Al
0.667 0.333 0.025 Al
0.667 0.333 0.175 Al
0.667 0.333 0.325 Al
0.667 0.333 0.475 Al
0.833 0.167 0.606 Al
0.833 0.167 0.894 Al
0.833 0.665 0.606 Al
0.833 0.665 0.894 Al
0.000 0.000 0.141 O
0.000 0.000 0.359 O
0.000 0.000 0.641 O
0.000 0.000 0.859 O
0.005 0.502 0.145 O
0.005 0.502 0.355 O
0.157 0.314 0.549 O
0.157 0.314 0.951 O
0.157 0.843 0.549 O
0.157 0.843 0.951 O
0.314 0.157 0.049 O
0.314 0.157 0.451 O
0.333 0.667 0.055 O
0.333 0.667 0.445 O
0.333 0.667 0.750 O
0.498 0.502 0.145 O
0.498 0.502 0.355 O
0.498 0.995 0.145 O
0.498 0.995 0.355 O
0.502 0.005 0.645 O
0.502 0.005 0.855 O
0.502 0.498 0.645 O
0.502 0.498 0.855 O
0.667 0.333 0.250 O
0.667 0.333 0.555 O
0.667 0.333 0.945 O
0.686 0.843 0.549 O
0.686 0.843 0.951 O
0.843 0.157 0.049 O
0.843 0.157 0.451 O
0.843 0.686 0.049 O
0.843 0.686 0.451 O
0.995 0.498 0.645 O
0.995 0.498 0.855 O
```

Summary:
* crystal system: hexagonal
* energy relative to the elements, uncorrected: -3.01 eV per atom

No. 2
KAl9O14: optimized geometry, PBEsol.

Geometry as POSCAR:
```
KAl9O14
1.0
8.207 0.000 0.000
0.000 7.689 0.000
-5.092 0.000 8.282
K Al O
2 18 28
Direct
0.000 0.000 0.000 K
0.000 0.500 0.500 K
0.174 0.003 0.672 Al
0.174 0.497 0.172 Al
0.176 0.187 0.408 Al
0.176 0.313 0.908 Al
0.230 0.666 0.878 Al
0.230 0.834 0.378 Al
0.435 0.178 0.279 Al
0.435 0.322 0.779 Al
0.500 0.000 0.000 Al
0.500 0.500 0.500 Al
0.565 0.678 0.221 Al
0.565 0.822 0.721 Al
0.770 0.166 0.622 Al
0.770 0.334 0.122 Al
0.824 0.687 0.092 Al
0.824 0.813 0.592 Al
0.826 0.503 0.828 Al
0.826 0.997 0.328 Al
0.079 0.707 0.209 O
0.079 0.793 0.709 O
0.097 0.561 0.949 O
0.097 0.939 0.449 O
0.246 0.103 0.874 O
0.246 0.397 0.374 O
0.253 0.206 0.615 O
0.253 0.294 0.115 O
0.296 0.041 0.332 O
0.296 0.459 0.832 O
0.405 0.711 0.539 O
0.405 0.789 0.039 O
0.427 0.585 0.289 O
0.427 0.915 0.789 O
0.573 0.085 0.211 O
0.573 0.415 0.711 O
0.595 0.211 0.961 O
0.595 0.289 0.461 O
0.704 0.541 0.168 O
0.704 0.959 0.668 O
0.747 0.706 0.885 O
0.747 0.794 0.385 O
0.754 0.603 0.626 O
0.754 0.897 0.126 O
0.903 0.061 0.551 O
0.903 0.439 0.051 O
0.921 0.207 0.291 O
0.921 0.293 0.791 O
```

Summary:
* crystal system: monoclinic
* energy relative to the elements, uncorrected: -2.98 eV per atom

No. 3
KAl11O17: optimized geometry, PBEsol.

Geometry as POSCAR:
```
KAl11O17
1.0
2.806 1.620 11.418
-2.806 1.620 11.418
0.000 -3.240 11.418
K Al O
1 11 17
Direct
0.000 0.000 0.000 K
0.074 0.074 0.575 Al
0.074 0.575 0.074 Al
0.171 0.171 0.171 Al
0.269 0.269 0.764 Al
0.269 0.764 0.269 Al
0.521 0.521 0.521 Al
0.575 0.074 0.074 Al
0.621 0.621 0.621 Al
0.721 0.721 0.721 Al
0.764 0.269 0.269 Al
0.820 0.820 0.820 Al
0.077 0.077 0.077 O
0.077 0.574 0.574 O
0.262 0.769 0.769 O
0.264 0.264 0.264 O
0.360 0.360 0.890 O
0.360 0.890 0.360 O
0.450 0.982 0.982 O
0.468 0.468 0.468 O
0.574 0.077 0.574 O
0.574 0.574 0.077 O
0.671 0.671 0.671 O
0.769 0.262 0.769 O
0.769 0.769 0.262 O
0.874 0.874 0.874 O
0.890 0.360 0.360 O
0.982 0.450 0.982 O
0.982 0.982 0.450 O
```

Summary:
* crystal system: trigonal
* energy relative to the elements, uncorrected: -3.01 eV per atom

No. 4
K3Al2P3O12: optimized geometry, PBEsol.

Geometry as POSCAR:
```
K3Al2P3O12
1.0
8.682 0.000 0.000
0.000 16.926 0.000
0.000 0.000 8.489
K Al P O
12 8 12 48
Direct
0.010 0.097 0.000 K
0.045 0.856 0.028 K
0.175 0.491 0.721 K
0.325 0.991 0.221 K
0.455 0.356 0.528 K
0.490 0.597 0.500 K
0.510 0.403 0.000 K
0.545 0.644 0.028 K
0.675 0.009 0.721 K
0.825 0.509 0.221 K
0.955 0.144 0.528 K
0.990 0.903 0.500 K
0.130 0.332 0.184 Al
0.151 0.660 0.196 Al
0.349 0.160 0.696 Al
0.370 0.832 0.684 Al
0.630 0.168 0.184 Al
0.651 0.840 0.196 Al
0.849 0.340 0.696 Al
0.870 0.668 0.684 Al
0.158 0.287 0.836 P
0.208 0.686 0.829 P
0.237 0.998 0.759 P
0.263 0.498 0.259 P
0.292 0.186 0.329 P
0.342 0.787 0.336 P
0.658 0.213 0.836 P
0.708 0.814 0.829 P
0.737 0.502 0.759 P
0.763 0.002 0.259 P
0.792 0.314 0.329 P
0.842 0.713 0.336 P
0.029 0.294 0.710 O
0.040 0.660 0.793 O
0.078 0.294 0.000 O
0.089 0.032 0.692 O
0.126 0.559 0.231 O
0.175 0.130 0.259 O
0.213 0.424 0.156 O
0.215 0.200 0.829 O
0.216 0.847 0.308 O
0.223 0.688 0.012 O
0.228 0.773 0.776 O
0.230 0.975 0.932 O
0.270 0.475 0.432 O
0.272 0.273 0.276 O
0.277 0.188 0.512 O
0.284 0.347 0.808 O
0.285 0.700 0.329 O
0.287 0.924 0.656 O
0.325 0.630 0.759 O
0.374 0.059 0.731 O
0.411 0.532 0.192 O
0.422 0.794 0.500 O
0.460 0.160 0.293 O
0.471 0.794 0.210 O
0.529 0.206 0.710 O
0.540 0.840 0.793 O
0.578 0.206 0.000 O
0.589 0.468 0.692 O
0.626 0.941 0.231 O
0.675 0.370 0.259 O
0.713 0.076 0.156 O
0.715 0.300 0.829 O
0.716 0.653 0.308 O
0.723 0.812 0.012 O
0.728 0.727 0.776 O
0.730 0.525 0.932 O
0.770 0.025 0.432 O
0.772 0.227 0.276 O
0.777 0.312 0.512 O
0.784 0.153 0.808 O
0.785 0.800 0.329 O
0.787 0.576 0.656 O
0.825 0.870 0.759 O
0.874 0.441 0.731 O
0.911 0.968 0.192 O
0.922 0.706 0.500 O
0.960 0.340 0.293 O
0.971 0.706 0.210 O
```

Summary:
* crystal system: orthorhombic
* energy relative to the elements, uncorrected: -2.53 eV per atom

No. 5
KAlP2O7: optimized geometry, PBEsol.

Geometry as POSCAR:
```
KAlP2O7
1.0
7.347 0.000 0.000
0.000 9.693 0.000
-2.377 0.000 7.726
K Al P O
4 4 8 28
Direct
0.178 0.180 0.057 K
0.178 0.320 0.557 K
0.822 0.680 0.443 K
0.822 0.820 0.943 K
0.237 0.600 0.261 Al
0.237 0.900 0.761 Al
0.763 0.100 0.239 Al
0.763 0.400 0.739 Al
0.129 0.596 0.832 P
0.129 0.904 0.332 P
0.437 0.633 0.690 P
0.437 0.867 0.190 P
0.563 0.133 0.810 P
0.563 0.367 0.310 P
0.871 0.096 0.668 P
0.871 0.404 0.168 P
0.018 0.504 0.278 O
0.018 0.996 0.778 O
0.086 0.740 0.754 O
0.086 0.760 0.254 O
0.148 0.592 0.022 O
0.148 0.908 0.522 O
0.321 0.605 0.504 O
0.321 0.895 0.004 O
0.330 0.548 0.808 O
0.330 0.952 0.308 O
0.363 0.072 0.763 O
0.363 0.428 0.263 O
0.446 0.716 0.247 O
0.446 0.784 0.747 O
0.554 0.216 0.253 O
0.554 0.284 0.753 O
0.637 0.572 0.737 O
0.637 0.928 0.237 O
0.670 0.048 0.692 O
0.670 0.452 0.192 O
0.679 0.105 0.996 O
0.679 0.395 0.496 O
0.852 0.092 0.478 O
0.852 0.408 0.978 O
0.914 0.240 0.746 O
0.914 0.260 0.246 O
0.982 0.004 0.222 O
0.982 0.496 0.722 O
```

Summary:
* crystal system: monoclinic
* energy relative to the elements, uncorrected: -2.53 eV per atom

No. 6
K2AlSnP3O12: optimized geometry, PBEsol.

Geometry as POSCAR:
```
K2AlSnP3O12
1.0
9.838 0.000 0.000
0.000 9.838 0.000
0.000 0.000 9.838
K Al Sn P O
8 4 4 12 48
Direct
0.047 0.453 0.547 K
0.185 0.185 0.185 K
0.315 0.815 0.685 K
0.453 0.547 0.047 K
0.547 0.047 0.453 K
0.685 0.315 0.815 K
0.815 0.685 0.315 K
0.953 0.953 0.953 K
0.104 0.604 0.896 Al
0.396 0.396 0.396 Al
0.604 0.896 0.104 Al
0.896 0.104 0.604 Al
0.166 0.834 0.334 Sn
0.334 0.166 0.834 Sn
0.666 0.666 0.666 Sn
0.834 0.334 0.166 Sn
0.014 0.295 0.867 P
0.133 0.514 0.205 P
0.205 0.133 0.514 P
0.295 0.867 0.014 P
0.367 0.486 0.705 P
0.486 0.705 0.367 P
0.514 0.205 0.133 P
0.633 0.986 0.795 P
0.705 0.367 0.486 P
0.795 0.633 0.986 P
0.867 0.014 0.295 P
0.986 0.795 0.633 P
0.006 0.424 0.238 O
0.010 0.447 0.833 O
0.044 0.711 0.748 O
0.053 0.167 0.510 O
0.076 0.762 0.506 O
0.093 0.659 0.252 O
0.159 0.248 0.907 O
0.167 0.510 0.053 O
0.211 0.752 0.956 O
0.238 0.006 0.424 O
0.248 0.456 0.289 O
0.248 0.907 0.159 O
0.252 0.093 0.659 O
0.252 0.544 0.789 O
0.262 0.994 0.924 O
0.289 0.248 0.456 O
0.333 0.490 0.553 O
0.341 0.752 0.407 O
0.407 0.341 0.752 O
0.424 0.238 0.006 O
0.447 0.833 0.010 O
0.456 0.289 0.248 O
0.490 0.553 0.333 O
0.494 0.576 0.738 O
0.506 0.076 0.762 O
0.510 0.053 0.167 O
0.544 0.789 0.252 O
0.553 0.333 0.490 O
0.576 0.738 0.494 O
0.593 0.841 0.748 O
0.659 0.252 0.093 O
0.667 0.990 0.947 O
0.711 0.748 0.044 O
0.738 0.494 0.576 O
0.748 0.044 0.711 O
0.748 0.593 0.841 O
0.752 0.407 0.341 O
0.752 0.956 0.211 O
0.762 0.506 0.076 O
0.789 0.252 0.544 O
0.833 0.010 0.447 O
0.841 0.748 0.593 O
0.907 0.159 0.248 O
0.924 0.262 0.994 O
0.947 0.667 0.990 O
0.956 0.211 0.752 O
0.990 0.947 0.667 O
0.994 0.924 0.262 O
```

Summary:
* crystal system: cubic
* energy relative to the elements, uncorrected: -2.35 eV per atom

No. 7
K2AlPtO: optimized geometry, PBEsol.

Geometry as POSCAR:
```
K2AlPtO
1.0
6.260 0.000 0.000
0.000 6.260 0.000
0.000 0.000 3.411
K Al Pt O
2 1 1 1
Direct
0.000 0.500 0.000 K
0.500 0.000 0.000 K
0.000 0.000 0.000 Al
0.500 0.500 0.500 Pt
0.000 0.000 0.500 O
```

Summary:
* crystal system: tetragonal
* energy relative to the elements, uncorrected: -0.17 eV per atom

No. 8
KAl2Os: optimized geometry, PBEsol.

Geometry as POSCAR:
```
KAl2Os
1.0
2.706 0.000 0.000
0.000 4.937 0.000
0.000 0.000 5.522
K Al Os
1 2 1
Direct
0.000 0.000 0.000 K
0.000 0.500 0.500 Al
0.500 0.500 0.000 Al
0.500 0.000 0.500 Os
```

Summary:
* energy of formation from the pure elements: 366 kJ/mol of formula units
* crystal system: orthorhombic

No. 9
K3AlOs: optimized geometry, PBEsol.

Geometry as POSCAR:
```
K3AlOs
1.0
6.018 0.000 0.000
0.000 6.018 0.000
0.000 0.000 6.018
K Al Os
3 1 1
Direct
0.000 0.000 0.500 K
0.000 0.500 0.000 K
0.500 0.000 0.000 K
0.500 0.500 0.500 Al
0.000 0.000 0.000 Os
```

Summary:
* energy of formation from the pure elements: 779 kJ/mol of formula units
* crystal system: cubic

No. 10
KAl2Os: optimized geometry, PBEsol.

Geometry as POSCAR:
```
KAl2Os
1.0
2.896 0.000 0.000
0.000 4.101 0.000
-0.019 0.000 7.780
K Al Os
1 2 1
Direct
0.000 0.000 0.000 K
0.500 0.000 0.394 Al
0.502 0.500 0.660 Al
0.000 0.500 0.396 Os
```

Summary:
* energy of formation from the pure elements: 75 kJ/mol of formula units
* crystal system: monoclinic

No. 11
KAl2Os: optimized geometry, PBEsol.

Geometry as POSCAR:
```
KAl2Os
1.0
1.551 -2.347 0.000
1.551 2.347 0.000
0.000 0.000 9.908
K Al Os
1 2 1
Direct
0.000 0.000 0.000 K
0.000 0.000 0.467 Al
0.500 0.500 0.697 Al
0.500 0.500 0.275 Os
```

Summary:
* energy of formation from the pure elements: 196 kJ/mol of formula units
* crystal system: orthorhombic

Uncorrected energy readings, ordered: -7.681, -7.621, -7.675, -7.123, -7.398, -7.134, -3.884, -4.434, -2.326, -5.188, -4.875 eV per atom
Ρ readings, ordered: 3248, 3215, 3241, 2429, 2898, 3549, 3929, 6376, 2549, 5090, 6522 kg/m3
DOS at the Fermi energy readings, ordered: 0.0, 0.0, 0.0, 0.0, 0.0, 0.0, 1.4, 2.1, 6.3, 2.3, 2.7 states/eV/cell